(1)
Below is crystalline HfInSi at its relaxed geometry, with properties calculated at the PBE level.

Cell: 5.3095 5.3095 6.7001 Å, 101.31 101.31 41.65°
Fractional positions:
Hf 0.0000 0.0000 0.0000
Hf 0.2437 0.2437 0.7221
In 0.6042 0.6042 0.3480
In 0.8940 0.8940 0.4411
Si 0.5292 0.5292 0.7282
Si 0.7282 0.7282 0.0105

Results
Theoretical density in g/cm3: 8.7
Total magnetic moment in μB per cell: 0.0
Final energy in Ry/atom: -0.459
Offset from the most stable computed form in meV/atom: 91
ΔE_f (raw) in eV/atom: -0.21

***

(2)
Below is crystalline Er3Tm4Tl at its relaxed geometry, with properties calculated at the PBE level.

Cell: 11.0791 6.9206 6.0921 Å, 90.00 90.00 90.00°
Fractional positions:
Er 0.0000 0.1308 0.0000
Er 0.2416 0.1166 0.3392
Er 0.2584 0.8834 0.8392
Er 0.5000 0.8692 0.5000
Er 0.7416 0.8834 0.8392
Er 0.7584 0.1166 0.3392
Tm 0.0000 0.3752 0.5311
Tm 0.0000 0.6293 0.0067
Tm 0.2412 0.6245 0.3577
Tm 0.2588 0.3755 0.8577
Tm 0.5000 0.3707 0.5067
Tm 0.5000 0.6248 0.0311
Tm 0.7412 0.3755 0.8577
Tm 0.7588 0.6245 0.3577
Tl 0.0000 0.8748 0.5173
Tl 0.5000 0.1252 0.0173

Results
Theoretical density in g/cm3: 9.8
Total magnetic moment in μB per cell: 0.0
Final energy in Ry/atom: -0.317
E_form in eV/atom: -0.07

***

(3)
Below is crystalline ErMnSi2 at its relaxed geometry, with properties calculated at the PBE level.

Cell: 5.3697 5.3697 5.3697 Å, 43.12 43.12 43.12°
Fractional positions:
Er 0.0000 0.0000 0.0000
Mn 0.5000 0.5000 0.5000
Si 0.2081 0.2081 0.2081
Si 0.7919 0.7919 0.7919

Results
Theoretical density in g/cm3: 7.0
Total magnetic moment in μB per cell: 0.0
Final energy in Ry/atom: -0.491
ΔE_f (raw) in eV/atom: -0.54

***

(4)
Below is crystalline NiWCl at its relaxed geometry, with properties calculated at the PBE level.

Cell: 3.9492 3.9492 3.9492 Å, 60.00 60.00 60.00°
Fractional positions:
Ni 0.0000 0.0000 0.0000
W 0.5000 0.5000 0.5000
Cl 0.7500 0.7500 0.7500

Results
Theoretical density in g/cm3: 10.6
Total magnetic moment in μB per cell: 0.0
Final energy in Ry/atom: -0.411
Offset from the most stable computed form in meV/atom: 984
ΔE_f (raw) in eV/atom: 1.27

***

(5)
Below is crystalline KSe2I2 at its relaxed geometry, with properties calculated at the PBE level.

Cell: 9.2561 9.2561 4.8249 Å, 90.00 90.00 90.00°
Fractional positions:
K 0.0000 0.0000 0.0000
K 0.5000 0.5000 0.0000
Se 0.0836 0.4164 0.0000
Se 0.4164 0.9164 0.0000
Se 0.5836 0.0836 0.0000
Se 0.9164 0.5836 0.0000
I 0.2490 0.7490 0.5000
I 0.2510 0.2490 0.5000
I 0.7490 0.7510 0.5000
I 0.7510 0.2510 0.5000

Results
Theoretical density in g/cm3: 3.6
Total magnetic moment in μB per cell: 2.0
Final energy in Ry/atom: -0.189
Offset from the most stable computed form in meV/atom: 126
ΔE_f (raw) in eV/atom: -0.33

***

(6)
Below is crystalline ErZr2Ir at its relaxed geometry, with properties calculated at the PBE level.

Cell: 4.8616 4.8616 4.8616 Å, 60.00 60.00 60.00°
Fractional positions:
Er 0.0000 0.0000 0.0000
Zr 0.2500 0.2500 0.2500
Zr 0.7500 0.7500 0.7500
Ir 0.5000 0.5000 0.5000

Results
Theoretical density in g/cm3: 11.1
Total magnetic moment in μB per cell: 0.0
Final energy in Ry/atom: -0.577
Offset from the most stable computed form in meV/atom: 270
E_form in eV/atom: -0.22

***

(7)
Below is crystalline LiAs2Br2 at its relaxed geometry, with properties calculated at the PBE level.

Cell: 9.3066 9.3066 9.3066 Å, 157.07 157.07 32.64°
Fractional positions:
Li 0.0000 0.0000 0.0000
As 0.2500 0.7500 0.5000
As 0.7500 0.2500 0.5000
Br 0.4132 0.4132 0.0000
Br 0.5868 0.5868 0.0000

Results
Theoretical density in g/cm3: 4.3
Total magnetic moment in μB per cell: 0.0
Final energy in Ry/atom: -0.234
ΔE_f (raw) in eV/atom: -0.27

***

(8)
Below is crystalline AcThInSn at its relaxed geometry, with properties calculated at the PBE level.

Cell: 5.6344 5.6344 5.6344 Å, 60.00 60.00 60.00°
Fractional positions:
Ac 0.0000 0.0000 0.0000
Th 0.5000 0.5000 0.5000
In 0.7500 0.7500 0.7500
Sn 0.2500 0.2500 0.2500

Results
Theoretical density in g/cm3: 9.1
Total magnetic moment in μB per cell: 0.0
Final energy in Ry/atom: -0.360
E_form in eV/atom: -0.33

***

(9)
Below is crystalline YTi2Tl at its relaxed geometry, with properties calculated at the PBE level.

Cell: 4.9215 4.9215 4.9215 Å, 60.00 60.00 60.00°
Fractional positions:
Y 0.0000 0.0000 0.0000
Ti 0.2500 0.2500 0.2500
Ti 0.7500 0.7500 0.7500
Tl 0.5000 0.5000 0.5000

Results
Theoretical density in g/cm3: 7.7
Total magnetic moment in μB per cell: 0.0
Final energy in Ry/atom: -0.434
Offset from the most stable computed form in meV/atom: 0
E_form in eV/atom: 0.24

***

(10)
Below is crystalline NdTm3Pt at its relaxed geometry, with properties calculated at the PBE level.

Cell: 5.4229 5.4229 5.4229 Å, 90.00 90.00 90.00°
Fractional positions:
Nd 0.0000 0.0000 0.0000
Tm 0.0000 0.5000 0.5000
Tm 0.5000 0.0000 0.5000
Tm 0.5000 0.5000 0.0000
Pt 0.5000 0.5000 0.5000

Results
Theoretical density in g/cm3: 8.8
Total magnetic moment in μB per cell: 0.0
Final energy in Ry/atom: -0.386
E_form in eV/atom: -0.41

***

(11)
Below is crystalline PrSmHo2 at its relaxed geometry, with properties calculated at the PBE level.

Cell: 5.1049 5.1049 5.0483 Å, 90.00 90.00 90.00°
Fractional positions:
Pr 0.0000 0.0000 0.0000
Sm 0.5000 0.5000 0.0000
Ho 0.0000 0.5000 0.5000
Ho 0.5000 0.0000 0.5000

Results
Theoretical density in g/cm3: 7.8
Total magnetic moment in μB per cell: 0.0
Final energy in Ry/atom: -0.341
Offset from the most stable computed form in meV/atom: 7
E_form in eV/atom: 0.02

***

(12)
Below is crystalline Nd14ErMg at its relaxed geometry, with properties calculated at the PBE level.

Cell: 10.3324 7.2713 7.2713 Å, 89.98 90.00 90.00°
Fractional positions:
Nd 0.0000 0.9995 0.9995
Nd 0.0000 0.0004 0.4992
Nd 0.0000 0.4992 0.0004
Nd 0.0000 0.5000 0.5000
Nd 0.2531 0.7496 0.7496
Nd 0.2539 0.2497 0.2497
Nd 0.2535 0.2497 0.7498
Nd 0.2535 0.7498 0.2497
Nd 0.5000 0.5006 0.9993
Nd 0.5000 0.9993 0.5006
Nd 0.7461 0.2497 0.2497
Nd 0.7465 0.2497 0.7498
Nd 0.7465 0.7498 0.2497
Nd 0.7469 0.7496 0.7496
Er 0.5000 0.4997 0.4997
Mg 0.5000 0.9995 0.9995

Results
Theoretical density in g/cm3: 6.7
Total magnetic moment in μB per cell: 0.0
Final energy in Ry/atom: -0.334
E_form in eV/atom: 0.01

***

(13)
Below is crystalline ZrMo2Cl at its relaxed geometry, with properties calculated at the PBE level.

Cell: 2.8586 2.8586 8.7583 Å, 90.00 90.00 90.00°
Fractional positions:
Zr 0.0000 0.0000 0.0000
Mo 0.5000 0.5000 0.2640
Mo 0.5000 0.5000 0.7360
Cl 0.0000 0.0000 0.5000

Results
Theoretical density in g/cm3: 7.4
Total magnetic moment in μB per cell: 0.0
Final energy in Ry/atom: -0.551
Offset from the most stable computed form in meV/atom: 673
ΔE_f (raw) in eV/atom: 0.52

***

(14)
Below is crystalline LiTh2B10 at its relaxed geometry, with properties calculated at the PBE level.

Cell: 5.6879 11.3197 4.1569 Å, 90.00 90.00 90.00°
Fractional positions:
Li 0.0000 0.0000 0.0000
Li 0.5000 0.5000 0.0000
Th 0.2036 0.3638 0.5000
Th 0.2964 0.8638 0.5000
Th 0.7036 0.1362 0.5000
Th 0.7964 0.6362 0.5000
B 0.0510 0.1904 0.0000
B 0.1217 0.5414 0.0000
B 0.1402 0.6973 0.0000
B 0.2147 0.1165 0.2997
B 0.2147 0.1165 0.7003
B 0.2853 0.6165 0.2997
B 0.2853 0.6165 0.7003
B 0.3598 0.1973 0.0000
B 0.3783 0.0414 0.0000
B 0.4490 0.6904 0.0000
B 0.5510 0.3096 0.0000
B 0.6217 0.9586 0.0000
B 0.6402 0.8027 0.0000
B 0.7147 0.3835 0.2997
B 0.7147 0.3835 0.7003
B 0.7853 0.8835 0.2997
B 0.7853 0.8835 0.7003
B 0.8598 0.3027 0.0000
B 0.8783 0.4586 0.0000
B 0.9490 0.8096 0.0000

Results
Theoretical density in g/cm3: 7.2
Total magnetic moment in μB per cell: 0.0
Final energy in Ry/atom: -0.508
E_form in eV/atom: -0.49

***

(15)
Below is crystalline La5Nd2ZnCu2 at its relaxed geometry, with properties calculated at the PBE level.

Cell: 12.4807 12.4807 3.8574 Å, 90.00 90.00 90.00°
Fractional positions:
La 0.0000 0.5000 0.0000
La 0.0568 0.1989 0.0000
La 0.1989 0.9432 0.0000
La 0.3011 0.4432 0.0000
La 0.4432 0.6989 0.0000
La 0.5000 0.0000 0.0000
La 0.5568 0.3011 0.0000
La 0.6989 0.5568 0.0000
La 0.8011 0.0568 0.0000
La 0.9432 0.8011 0.0000
Nd 0.1800 0.6800 0.5000
Nd 0.3200 0.1800 0.5000
Nd 0.6800 0.8200 0.5000
Nd 0.8200 0.3200 0.5000
Zn 0.0000 0.0000 0.5000
Zn 0.5000 0.5000 0.5000
Cu 0.1291 0.3709 0.5000
Cu 0.3709 0.8709 0.5000
Cu 0.6291 0.1291 0.5000
Cu 0.8709 0.6291 0.5000

Results
Theoretical density in g/cm3: 6.5
Total magnetic moment in μB per cell: 0.0
Final energy in Ry/atom: -0.331
E_form in eV/atom: -0.14

***

(16)
Below is crystalline ScNi2Se2 at its relaxed geometry, with properties calculated at the PBE level.

Cell: 6.6664 6.6664 6.6664 Å, 148.57 148.57 45.05°
Fractional positions:
Sc 0.0000 0.0000 0.0000
Ni 0.2500 0.7500 0.5000
Ni 0.7500 0.2500 0.5000
Se 0.3798 0.3798 0.0000
Se 0.6202 0.6202 0.0000

Results
Theoretical density in g/cm3: 6.6
Total magnetic moment in μB per cell: 0.0
Final energy in Ry/atom: -0.407
ΔE_f (raw) in eV/atom: -0.56

***

(17)
Below is crystalline AcPrAg at its relaxed geometry, with properties calculated at the PBE level.

Cell: 8.8877 8.8877 8.8877 Å, 147.48 147.48 46.65°
Fractional positions:
Ac 0.1836 0.1836 0.0000
Ac 0.8164 0.8164 0.0000
Pr 0.0000 0.5000 0.5000
Pr 0.5000 0.0000 0.5000
Ag 0.3746 0.3746 0.0000
Ag 0.6254 0.6254 0.0000

Results
Theoretical density in g/cm3: 7.8
Total magnetic moment in μB per cell: 0.0
Final energy in Ry/atom: -0.296
Offset from the most stable computed form in meV/atom: 22
E_form in eV/atom: -0.11

***

(18)
Below is crystalline CePd2Au3 at its relaxed geometry, with properties calculated at the PBE level.

Cell: 6.7254 6.7254 6.5755 Å, 95.30 95.30 121.14°
Fractional positions:
Ce 0.1197 0.8803 0.7500
Ce 0.8803 0.1197 0.2500
Pd 0.1728 0.4717 0.5810
Pd 0.4717 0.1728 0.0810
Pd 0.5283 0.8272 0.9190
Pd 0.8272 0.5283 0.4190
Au 0.2216 0.3714 0.9715
Au 0.2448 0.7552 0.2500
Au 0.3714 0.2216 0.4715
Au 0.6286 0.7784 0.5285
Au 0.7552 0.2448 0.7500
Au 0.7784 0.6286 0.0285

Results
Theoretical density in g/cm3: 12.5
Total magnetic moment in μB per cell: 1.1
Final energy in Ry/atom: -0.344
E_form in eV/atom: -0.33

***

(19)
Below is crystalline Ca2Sb3Pd4Pt at its relaxed geometry, with properties calculated at the PBE level.

Cell: 4.2430 4.2430 11.9362 Å, 90.00 90.00 90.00°
Fractional positions:
Ca 0.0000 0.5000 0.2314
Ca 0.5000 0.0000 0.7686
Sb 0.0000 0.0000 0.0000
Sb 0.0000 0.5000 0.6353
Sb 0.5000 0.0000 0.3647
Pd 0.0000 0.0000 0.5000
Pd 0.0000 0.5000 0.8498
Pd 0.5000 0.0000 0.1502
Pd 0.5000 0.5000 0.5000
Pt 0.5000 0.5000 0.0000

Results
Theoretical density in g/cm3: 8.2
Total magnetic moment in μB per cell: 0.0
Final energy in Ry/atom: -0.367
ΔE_f (raw) in eV/atom: -0.67

***

(20)
Below is crystalline U2Si3NiPt12 at its relaxed geometry, with properties calculated at the PBE level.

Cell: 7.5568 7.5568 7.5568 Å, 65.14 65.14 65.14°
Fractional positions:
U 0.1177 0.1177 0.1177
U 0.8823 0.8823 0.8823
Si 0.0000 0.5000 0.5000
Si 0.5000 0.0000 0.5000
Si 0.5000 0.5000 0.0000
Ni 0.5000 0.5000 0.5000
Pt 0.1229 0.6378 0.6378
Pt 0.1340 0.1340 0.6115
Pt 0.1340 0.6115 0.1340
Pt 0.3622 0.3622 0.8771
Pt 0.3622 0.8771 0.3622
Pt 0.3885 0.8660 0.8660
Pt 0.6115 0.1340 0.1340
Pt 0.6378 0.1229 0.6378
Pt 0.6378 0.6378 0.1229
Pt 0.8660 0.3885 0.8660
Pt 0.8660 0.8660 0.3885
Pt 0.8771 0.3622 0.3622

Results
Theoretical density in g/cm3: 14.5
Total magnetic moment in μB per cell: 3.2
Final energy in Ry/atom: -0.505
ΔE_f (raw) in eV/atom: -0.37

***

(21)
Below is crystalline SiBSbF2 at its relaxed geometry, with properties calculated at the PBE level.

Cell: 3.9139 3.9139 4.2940 Å, 90.00 90.00 90.00°
Fractional positions:
Si 0.0000 0.0000 0.0000
B 0.0000 0.0000 0.5000
Sb 0.5000 0.5000 0.5000
F 0.0000 0.5000 0.0000
F 0.5000 0.0000 0.0000

Results
Theoretical density in g/cm3: 5.0
Total magnetic moment in μB per cell: 0.0
Final energy in Ry/atom: -0.334
ΔE_f (raw) in eV/atom: -0.55

***

(22)
Below is crystalline CeSiNi4 at its relaxed geometry, with properties calculated at the PBE level.

Cell: 4.8070 4.8070 4.0165 Å, 90.00 90.00 116.32°
Fractional positions:
Ce 0.0000 0.0000 0.0000
Si 0.5000 0.5000 0.5000
Ni 0.0000 0.5000 0.5000
Ni 0.3392 0.6608 0.0000
Ni 0.5000 0.0000 0.5000
Ni 0.6608 0.3392 0.0000

Results
Theoretical density in g/cm3: 8.0
Total magnetic moment in μB per cell: 0.0
Final energy in Ry/atom: -0.466
Offset from the most stable computed form in meV/atom: 0
ΔE_f (raw) in eV/atom: -0.59

***

(23)
Below is crystalline PrLu2Pb at its relaxed geometry, with properties calculated at the PBE level.

Cell: 4.8984 4.8984 4.8214 Å, 90.00 90.00 90.00°
Fractional positions:
Pr 0.0000 0.0000 0.0000
Lu 0.0000 0.5000 0.5000
Lu 0.5000 0.0000 0.5000
Pb 0.5000 0.5000 0.0000

Results
Theoretical density in g/cm3: 10.0
Total magnetic moment in μB per cell: 0.0
Final energy in Ry/atom: -0.341
Offset from the most stable computed form in meV/atom: 0
E_form in eV/atom: -0.25

***

(24)
Below is crystalline Y3ScBi4 at its relaxed geometry, with properties calculated at the PBE level.

Cell: 7.6759 7.6759 4.4341 Å, 90.00 90.00 109.47°
Fractional positions:
Y 0.0000 0.0000 0.0000
Y 0.0000 0.5000 0.5000
Y 0.5000 0.0000 0.5000
Sc 0.5000 0.5000 0.0000
Bi 0.2550 0.7450 0.0000
Bi 0.2599 0.2599 0.5000
Bi 0.7401 0.7401 0.5000
Bi 0.7450 0.2550 0.0000

Results
Theoretical density in g/cm3: 7.7
Total magnetic moment in μB per cell: 0.0
Final energy in Ry/atom: -0.440
E_form in eV/atom: -0.83